The following is a PBE calculation of a relaxed structure of AcCuSn3, from Alexandria.

Structure (POSCAR):
```
AcCuSn3
1.0
5.199 0.000 0.000
0.000 5.199 0.000
0.000 0.000 5.199
Sn Cu Ac
3 1 1
Direct
0.000 0.000 0.500
0.500 0.000 0.000
0.000 0.500 0.000
0.000 0.000 0.000
0.500 0.500 0.500
```

Formation energy (eV/atom): -0.17
Volume (Å³ per cell): 140.6
Offset from the most stable computed form (kJ per mole of atoms): 23.03
Final energy (eV/atom): -4.22
Density (g/cm3): 7.64

The following is a PBE calculation of a relaxed structure of Ac4CuSn3, from Alexandria.

Structure (POSCAR):
```
Ac4CuSn3
1.0
4.830 0.000 0.000
0.000 4.633 0.000
0.000 0.000 12.233
Ac Sn Cu
4 3 1
Direct
0.500 0.000 0.643
0.500 0.500 0.351
0.000 0.500 0.871
0.000 0.000 0.136
0.500 0.000 0.931
0.000 0.500 0.585
0.000 0.000 0.417
0.500 0.500 0.066
```

Formation energy (eV/atom): -0.55
Volume (Å³ per cell): 273.7
Final energy (eV/atom): -4.61
Density (g/cm3): 8.05

The following is a PBE calculation of a relaxed structure of AcCu2Sn2, from Alexandria.

Structure (POSCAR):
```
AcCu2Sn2
1.0
6.754 -0.068 -0.001
3.321 5.499 -0.001
3.370 -0.032 6.431
Ac Sn Cu
2 4 4
Direct
0.135 0.250 0.731
0.865 0.750 0.269
0.276 0.752 0.446
0.475 0.250 0.049
0.724 0.248 0.554
0.525 0.750 0.951
0.117 0.130 0.200
0.320 0.631 0.799
0.680 0.369 0.201
0.883 0.870 0.800
```

Formation energy (eV/atom): -0.32
Volume (Å³ per cell): 240.3
Offset from the most stable computed form (kJ per mole of atoms): 12.53
Final energy (eV/atom): -4.38
Density (g/cm3): 8.18

Copy entry 1 word for word.
The following is a PBE calculation of a relaxed structure of AcCuSn3, from Alexandria.

Structure (POSCAR):
```
AcCuSn3
1.0
5.199 0.000 0.000
0.000 5.199 0.000
0.000 0.000 5.199
Sn Cu Ac
3 1 1
Direct
0.000 0.000 0.500
0.500 0.000 0.000
0.000 0.500 0.000
0.000 0.000 0.000
0.500 0.500 0.500
```

Formation energy (eV/atom): -0.17
Volume (Å³ per cell): 140.6
Offset from the most stable computed form (kJ per mole of atoms): 23.03
Final energy (eV/atom): -4.22
Density (g/cm3): 7.64